A plane-wave DFT calculation with GGA-PBE was carried out for Sm3Y6Ho2Er after structural relaxation.

Unit cell a=6.190 b=6.190 c=11.819 alpha=94.99 beta=94.99 gamma=119.95
Atoms (fractional coordinates):
Sm1 0.167 0.833 0.500
Sm2 0.833 0.167 0.500
Sm3 0.500 0.500 0.500
Y1 0.918 0.584 0.753
Y2 0.749 0.749 0.247
Y3 0.082 0.416 0.247
Y4 0.584 0.918 0.753
Y5 0.251 0.251 0.753
Y6 0.416 0.082 0.247
Ho1 0.333 0.667 0.000
Ho2 0.667 0.333 0.000
Er1 0.000 0.000 0.000

calculated formation energy	0.2	eV/f.u.
calculated volume	386.4	Å³/cell
DOS(E_F)	17.1	states/eV per cell